No. 1
! Li3MgCd, relaxed, DFT GGA-PBE; values from VASP
! **Volume**: 24.9 Å³/atom
! **Space group**: Pm-3m, No. 221
! **DOS(E_F)**: 2.2 states/eV per cell
! **Total DFT energy (no corrections)**: -1.44 eV/atom
! **Energy relative to the elements**: 0.213 eV/atom
&SYSTEM
  ibrav = 0, nat = 5, ntyp = 3
/
ATOMIC_SPECIES
Mg 24.30 Mg.upf
Li 6.94 Li.upf
Cd 112.41 Cd.upf
CELL_PARAMETERS angstrom
-0.352 3.592 3.453
3.437 -2.331 2.775
3.608 2.572 -2.307
ATOMIC_POSITIONS angstrom
Mg 3.346 1.916 1.961
Li 1.719 -1.166 1.388
Li 1.804 1.286 -1.154
Li -0.176 1.796 1.727
Cd 0.000 0.000 0.000


No. 2
! Li2Mg5Cd4, relaxed, DFT GGA-PBE; values from VASP
! **Volume**: 21.0 Å³/atom
! **Space group**: P2/m, No. 10
! **DOS(E_F)**: 3.9 states/eV per cell
! **Total DFT energy (no corrections)**: -1.51 eV/atom
! **Energy relative to the elements**: -0.106 eV/atom
&SYSTEM
  ibrav = 0, nat = 11, ntyp = 3
/
ATOMIC_SPECIES
Li 6.94 Li.upf
Mg 24.30 Mg.upf
Cd 112.41 Cd.upf
CELL_PARAMETERS angstrom
-2.426 1.811 -0.017
-4.571 -6.136 -1.337
-1.630 -2.093 9.498
ATOMIC_POSITIONS angstrom
Li -5.290 -7.041 4.740
Li -0.911 -1.188 3.422
Mg -2.554 -3.398 2.471
Mg -4.084 -5.469 0.290
Mg -2.286 -3.068 -0.668
Mg -2.117 -2.760 7.872
Mg -3.647 -4.831 5.691
Cd -3.312 -1.857 5.063
Cd -6.319 -5.866 7.190
Cd -5.315 -4.561 3.082
Cd -2.308 -0.552 0.955


No. 3
! Li7Mg4Cd, relaxed, DFT GGA-PBE; values from VASP
! **Volume**: 20.6 Å³/atom
! **Space group**: C2/m, No. 12
! **DOS(E_F)**: 4.0 states/eV per cell
! **Total DFT energy (no corrections)**: -1.73 eV/atom
! **Energy relative to the elements**: -0.003 eV/atom
&SYSTEM
  ibrav = 0, nat = 12, ntyp = 3
/
ATOMIC_SPECIES
Li 6.94 Li.upf
Mg 24.30 Mg.upf
Cd 112.41 Cd.upf
CELL_PARAMETERS angstrom
5.011 0.000 0.000
2.506 7.340 1.864
2.506 2.070 7.245
ATOMIC_POSITIONS angstrom
Li 7.517 7.285 5.963
Li 2.506 2.125 3.146
Li 2.506 4.939 3.130
Li 7.517 4.471 5.978
Li 5.011 7.752 7.140
Li 2.506 0.000 0.000
Li 5.011 1.658 1.968
Mg 5.011 3.135 4.613
Mg 5.011 6.275 4.495
Mg 5.011 4.469 1.634
Mg 5.011 4.941 7.474
Cd 0.000 0.000 0.000


No. 4
! Li2Mg2Cd7, relaxed, DFT GGA-PBE; values from VASP
! **Volume**: 21.4 Å³/atom
! **Space group**: C2/m, No. 12
! **DOS(E_F)**: 3.0 states/eV per cell
! **Total DFT energy (no corrections)**: -1.31 eV/atom
! **Energy relative to the elements**: -0.092 eV/atom
&SYSTEM
  ibrav = 0, nat = 11, ntyp = 3
/
ATOMIC_SPECIES
Li 6.94 Li.upf
Mg 24.30 Mg.upf
Cd 112.41 Cd.upf
CELL_PARAMETERS angstrom
8.235 0.448 0.646
-0.346 5.594 -0.234
-0.346 -2.183 5.155
ATOMIC_POSITIONS angstrom
Li 5.793 1.400 2.020
Li 1.750 2.458 3.547
Mg 3.772 0.158 4.011
Mg 3.772 3.700 1.556
Cd 1.032 -0.374 3.012
Cd 6.511 0.906 4.860
Cd 6.511 4.232 2.555
Cd 1.032 2.952 0.708
Cd 0.000 0.000 0.000
Cd 4.566 3.063 4.419
Cd 2.978 0.795 1.148


No. 5
! Li3Mg2Cd6, relaxed, DFT GGA-PBE; values from VASP
! **Volume**: 22.2 Å³/atom
! **Space group**: I4/mmm, No. 139
! **DOS(E_F)**: 2.4 states/eV per cell
! **Total DFT energy (no corrections)**: -1.34 eV/atom
! **Energy relative to the elements**: -0.031 eV/atom
&SYSTEM
  ibrav = 0, nat = 11, ntyp = 3
/
ATOMIC_SPECIES
Li 6.94 Li.upf
Mg 24.30 Mg.upf
Cd 112.41 Cd.upf
CELL_PARAMETERS angstrom
4.240 0.000 0.000
0.000 4.240 0.000
-2.120 -2.120 13.581
ATOMIC_POSITIONS angstrom
Li 0.000 0.000 0.000
Li 2.120 2.120 10.035
Li 0.000 0.000 3.546
Mg 0.000 0.000 9.231
Mg 2.120 2.120 4.350
Cd 0.000 2.120 1.780
Cd 2.120 0.000 1.780
Cd 2.120 0.000 11.801
Cd 0.000 2.120 11.801
Cd 2.120 2.120 7.368
Cd 0.000 0.000 6.213


No. 6
! Li7Mg12Cd, relaxed, DFT GGA-PBE; values from VASP
! **Volume**: 22.6 Å³/atom
! **Space group**: R-3, No. 148
! **DOS(E_F)**: 6.9 states/eV per cell
! **Total DFT energy (no corrections)**: -1.66 eV/atom
! **Energy relative to the elements**: 0.014 eV/atom
&SYSTEM
  ibrav = 0, nat = 20, ntyp = 3
/
ATOMIC_SPECIES
Li 6.94 Li.upf
Mg 24.30 Mg.upf
Cd 112.41 Cd.upf
CELL_PARAMETERS angstrom
7.471 0.983 1.475
-1.133 7.450 1.475
-1.133 -1.508 7.444
ATOMIC_POSITIONS angstrom
Li 4.591 4.057 9.281
Li 2.585 0.493 1.708
Li -0.245 0.568 3.076
Li 2.602 3.463 5.197
Li 5.450 6.358 7.319
Li 2.620 6.432 8.686
Li 0.613 2.869 1.113
Mg 5.413 1.745 7.215
Mg 5.034 2.457 2.369
Mg 3.767 1.043 4.816
Mg 5.250 3.986 4.933
Mg 0.960 0.061 6.005
Mg 2.369 2.183 7.577
Mg 2.836 4.742 2.818
Mg 4.245 6.864 4.390
Mg -0.045 2.939 5.462
Mg 1.438 5.882 5.578
Mg 0.171 4.469 8.025
Mg -0.208 5.180 3.180
Cd 0.000 0.000 0.000


No. 7
! Li2Mg7Cd2, relaxed, DFT GGA-PBE; values from VASP
! **Volume**: 21.5 Å³/atom
! **Space group**: C2/m, No. 12
! **DOS(E_F)**: 4.2 states/eV per cell
! **Total DFT energy (no corrections)**: -1.60 eV/atom
! **Energy relative to the elements**: -0.074 eV/atom
&SYSTEM
  ibrav = 0, nat = 11, ntyp = 3
/
ATOMIC_SPECIES
Li 6.94 Li.upf
Mg 24.30 Mg.upf
Cd 112.41 Cd.upf
CELL_PARAMETERS angstrom
-0.246 -4.999 -2.660
0.799 -2.094 5.206
-7.436 1.295 0.510
ATOMIC_POSITIONS angstrom
Li -3.624 -3.406 0.156
Li -3.259 -2.392 2.900
Mg -1.323 -5.472 0.513
Mg -5.947 -1.403 -0.375
Mg -5.560 -0.325 2.543
Mg -0.935 -4.394 3.431
Mg 0.000 0.000 0.000
Mg -2.959 -0.524 0.587
Mg -3.924 -5.274 2.469
Cd -5.970 -3.212 1.980
Cd -0.912 -2.586 1.076


No. 8
! Li2Mg5Cd, relaxed, DFT GGA-PBE; values from VASP
! **Volume**: 21.4 Å³/atom
! **Space group**: Pbam, No. 55
! **DOS(E_F)**: 9.1 states/eV per cell
! **Total DFT energy (no corrections)**: -1.65 eV/atom
! **Energy relative to the elements**: -0.063 eV/atom
&SYSTEM
  ibrav = 0, nat = 16, ntyp = 3
/
ATOMIC_SPECIES
Li 6.94 Li.upf
Mg 24.30 Mg.upf
Cd 112.41 Cd.upf
CELL_PARAMETERS angstrom
4.316 0.000 0.000
0.000 6.278 0.000
0.000 0.000 12.610
ATOMIC_POSITIONS angstrom
Li 2.158 1.622 7.867
Li 2.158 4.656 4.744
Li 2.158 1.517 1.562
Li 2.158 4.761 11.049
Mg 0.000 0.000 0.000
Mg 0.000 3.139 6.305
Mg 0.000 3.232 9.518
Mg 0.000 3.046 3.093
Mg 0.000 6.185 3.213
Mg 0.000 0.093 9.398
Mg 2.158 1.640 11.080
Mg 2.158 4.638 1.530
Mg 2.158 1.499 4.775
Mg 2.158 4.779 7.835
Cd 0.000 0.000 6.305
Cd 0.000 3.139 0.000


No. 9
! LiMg4Cd7, relaxed, DFT GGA-PBE; values from VASP
! **Volume**: 21.4 Å³/atom
! **Space group**: P-3m1, No. 164
! **DOS(E_F)**: 6.5 states/eV per cell
! **Total DFT energy (no corrections)**: -1.31 eV/atom
! **Energy relative to the elements**: -0.084 eV/atom
&SYSTEM
  ibrav = 0, nat = 12, ntyp = 3
/
ATOMIC_SPECIES
Li 6.94 Li.upf
Mg 24.30 Mg.upf
Cd 112.41 Cd.upf
CELL_PARAMETERS angstrom
4.886 0.000 0.000
-2.443 4.232 0.000
0.000 0.000 12.447
ATOMIC_POSITIONS angstrom
Li 0.000 0.000 6.223
Mg 0.000 2.821 11.496
Mg 2.443 1.411 0.950
Mg 0.000 2.821 8.295
Mg 2.443 1.411 4.152
Cd 0.000 0.000 0.000
Cd 0.000 2.821 5.348
Cd 2.443 1.411 7.099
Cd 0.000 2.821 2.178
Cd 2.443 1.411 10.269
Cd 0.000 0.000 9.248
Cd 0.000 0.000 3.198


No. 10
! LiMg2Cd2, relaxed, DFT GGA-PBE; values from VASP
! **Volume**: 24.2 Å³/atom
! **Space group**: I4/mmm, No. 139
! **DOS(E_F)**: 2.4 states/eV per cell
! **Total DFT energy (no corrections)**: -1.37 eV/atom
! **Energy relative to the elements**: 0.013 eV/atom
&SYSTEM
  ibrav = 0, nat = 5, ntyp = 3
/
ATOMIC_SPECIES
Mg 24.30 Mg.upf
Li 6.94 Li.upf
Cd 112.41 Cd.upf
CELL_PARAMETERS angstrom
4.134 0.000 0.000
0.000 4.134 0.000
2.067 2.067 7.075
ATOMIC_POSITIONS angstrom
Mg 4.134 2.067 3.538
Mg 2.067 4.134 3.538
Li 0.000 0.000 0.000
Cd 2.067 2.067 1.385
Cd 4.134 4.134 5.690


No. 11
! Li2MgCd7, relaxed, DFT GGA-PBE; values from VASP
! **Volume**: 21.7 Å³/atom
! **Space group**: P3m1, No. 156
! **DOS(E_F)**: 2.2 states/eV per cell
! **Total DFT energy (no corrections)**: -1.27 eV/atom
! **Energy relative to the elements**: -0.091 eV/atom
&SYSTEM
  ibrav = 0, nat = 10, ntyp = 3
/
ATOMIC_SPECIES
Li 6.94 Li.upf
Mg 24.30 Mg.upf
Cd 112.41 Cd.upf
CELL_PARAMETERS angstrom
-0.340 4.754 -0.148
-3.621 -2.698 -1.531
-4.299 0.009 10.151
ATOMIC_POSITIONS angstrom
Li -2.947 2.273 2.965
Li -5.435 -0.208 5.796
Mg -3.580 0.008 8.454
Cd -4.405 -0.210 3.365
Cd -3.286 -0.213 0.722
Cd -1.161 0.002 2.741
Cd -2.387 0.005 5.636
Cd -4.489 2.276 6.605
Cd -1.655 2.270 -0.086
Cd -6.488 -0.206 8.282


No. 12
! Li2Mg4Cd3, relaxed, DFT GGA-PBE; values from VASP
! **Volume**: 20.8 Å³/atom
! **Space group**: C2/c, No. 15
! **DOS(E_F)**: 6.4 states/eV per cell
! **Total DFT energy (no corrections)**: -1.56 eV/atom
! **Energy relative to the elements**: -0.120 eV/atom
&SYSTEM
  ibrav = 0, nat = 18, ntyp = 3
/
ATOMIC_SPECIES
Li 6.94 Li.upf
Mg 24.30 Mg.upf
Cd 112.41 Cd.upf
CELL_PARAMETERS angstrom
5.227 0.103 0.471
0.652 8.156 2.900
0.301 -0.422 8.666
ATOMIC_POSITIONS angstrom
Li 1.586 5.825 6.360
Li 2.071 4.184 3.947
Li 4.593 2.012 5.677
Li 4.108 3.653 8.090
Mg 3.032 0.297 7.495
Mg 5.501 1.239 9.047
Mg 3.148 7.541 4.542
Mg 0.678 6.598 2.990
Mg 3.991 6.611 7.896
Mg 4.885 3.297 3.019
Mg 2.189 1.226 4.141
Mg 1.295 4.540 9.018
Cd 1.219 7.561 8.875
Cd 2.440 2.490 1.404
Cd 4.961 0.276 3.162
Cd 3.739 5.347 10.633
Cd 1.745 2.967 6.523
Cd 4.434 4.871 5.514